No. 1
VASP calculation (GGA-PBE) on crystalline LiCaSb2 at its relaxed geometry.

POSCAR file:
```
LiCaSb2
1.0
5.245 0.000 0.000
0.000 5.245 0.000
0.000 0.000 18.065
Li Ca Sb
4 4 8
direct
0.000 0.000 0.000
0.000 0.500 0.250
0.500 0.000 0.750
0.500 0.500 0.500
0.000 0.000 0.500
0.000 0.500 0.750
0.500 0.000 0.250
0.500 0.500 0.000
0.136 0.250 0.125
0.250 0.636 0.375
0.250 0.864 0.875
0.364 0.250 0.625
0.636 0.750 0.625
0.750 0.136 0.875
0.750 0.364 0.375
0.864 0.750 0.125
```

Values from the calculation:
Relative energy among the computed polymorphs (eV per atom): 0.141
Crystal system: tetragonal
Raw total energy (eV per atom): -3.52

No. 2
VASP calculation (GGA-PBE) on crystalline TaPN2F at its relaxed geometry.

POSCAR file:
```
TaPN2F
1.0
4.100 0.000 0.000
0.000 4.100 0.000
0.000 0.000 3.974
Ta P N F
1 1 2 1
direct
0.000 0.000 0.000
0.500 0.500 0.500
0.000 0.500 0.000
0.500 0.000 0.000
0.000 0.000 0.500
```

Values from the calculation:
Relative energy among the computed polymorphs (eV per atom): 0.000
Crystal system: tetragonal
Raw total energy (eV per atom): -7.21

No. 3
VASP calculation (GGA-PBE) on crystalline Pr8AlGe3Br4 at its relaxed geometry.

POSCAR file:
```
Pr8AlGe3Br4
1.0
4.366 2.521 7.303
-4.366 2.521 7.303
0.000 -5.042 7.303
Pr Al Ge Br
8 1 3 4
direct
0.237 0.742 0.742
0.238 0.238 0.238
0.258 0.258 0.763
0.258 0.763 0.258
0.742 0.237 0.742
0.742 0.742 0.237
0.762 0.762 0.762
0.763 0.258 0.258
0.500 0.500 0.500
0.000 0.000 0.500
0.000 0.500 0.000
0.500 0.000 0.000
0.000 0.000 0.000
0.000 0.500 0.500
0.500 0.000 0.500
0.500 0.500 0.000
```

Values from the calculation:
Crystal system: trigonal
Raw total energy (eV per atom): -4.95

| no. | formation energy (no corrections) (eV per atom) |
| --- | --- |
| 1 | -0.481 |
| 2 | -0.054 |
| 3 | -1.043 |